Here is a relaxed structure of RbU2Se4 from the Alexandria database. Energies are from PBE.

abc: 4.202 7.289 14.486
angles: 90.00 90.00 106.75
Last column: magnetic moment on the atom in μB.
Fractional positions:
1 Rb 0.394 0.788 0.250  0.00
2 Rb 0.606 0.212 0.750  0.00
3 U 0.134 0.267 0.064  2.43
4 U 0.866 0.733 0.564  2.43
5 U 0.866 0.733 0.936  2.43
6 U 0.134 0.267 0.436  2.43
7 Se 0.500 0.000 0.000  -0.07
8 Se 0.500 0.000 0.500  -0.07
9 Se 0.764 0.528 0.107  -0.07
10 Se 0.764 0.528 0.393  -0.07
11 Se 0.236 0.472 0.607  -0.07
12 Se 0.916 0.832 0.750  -0.09
13 Se 0.084 0.168 0.250  -0.09
14 Se 0.236 0.472 0.893  -0.07

## Properties
Energy relative to the elements, uncorrected = -1.1863 eV/atom
E_tot = -6.5409 eV per atom
V = 425 Å³/cell
Density = 6.9 g/cm³
M_tot = 10.0 μB per cell
Relative energy among the computed polymorphs = 0 meV/atom